CuReOs | PBE | relaxed

Structure (POSCAR):
```
CuReOs
1.0
0.000 2.257 6.747
1.419 0.000 6.747
1.419 2.257 0.000
Cu Re Os
1 1 1
Direct
0.000 0.000 0.000
0.668 0.668 0.332
0.331 0.331 0.669
```

Summary:
Fermi-level density of states	2.74	states/eV/f.u.
E	-8.8057	eV/atom
energy above the lowest structure with this stoichiometry	285	meV per atom
ρ	16.90	g/cm3
E_form	0.452	eV/atom